Entry 1:
5
Lattice="-3.4078 3.0434 -1.6087 1.1005 -1.1817 -4.5668 -3.2618 -3.5784 0.1399" Properties=species:S:1:pos:R:3 comment="ReHgPd3 | Alexandria via LeMat-Bulk | GGA-PBE | relaxed" space_group="No. 221" dos_ef_per_ev_cell=5.04 ef_kj_per_mol_atoms=108.3 relative_energy_mev_per_atom=0.0 volume_a3_per_atom=22.7 pbc="T T T"
Pd -1.7039 1.5217 -0.8044
Pd -1.6309 -1.7892 0.0700
Pd 0.5503 -0.5909 -2.2834
Re 0.0000 0.0000 0.0000
Hg -2.7845 -0.8583 -3.0178



Entry 2:
5
Lattice="-1.6785 3.3338 -3.2791 1.5833 -2.8730 -3.7313 -4.3999 -2.3056 -0.0918" Properties=species:S:1:pos:R:3 comment="ReHgPd3 | Alexandria via LeMat-Bulk | GGA-PBE | relaxed" space_group="No. 221" dos_ef_per_ev_cell=1.71 ef_kj_per_mol_atoms=171.4 relative_energy_mev_per_atom=654.5 volume_a3_per_atom=24.5 pbc="T T T"
Re -2.2475 -0.9224 -3.5511
Hg 0.0000 0.0000 0.0000
Pd -0.8392 1.6669 -1.6396
Pd 0.7917 -1.4365 -1.8657
Pd -2.2000 -1.1528 -0.0459



Entry 3:
5
Lattice="5.3394 0.0000 0.0000 0.0000 4.7059 0.0000 0.0000 0.0000 5.3394" Properties=species:S:1:pos:R:3 comment="ReHg2PdSe | Alexandria via LeMat-Bulk | GGA-PBE | relaxed" formation_energy_uncorrected_ev_per_atom=1.403 space_group="No. 123" dos_ef_per_ev_cell=3.47 volume_a3_per_atom=26.8 pbc="T T T"
Se 0.0000 0.0000 0.0000
Hg 2.6697 0.0000 0.0000
Hg 0.0000 0.0000 2.6697
Re 2.6697 2.3529 2.6697
Pd 0.0000 2.3529 0.0000



Entry 4:
16
Lattice="-2.6670 -4.9089 -0.1563 3.9853 1.1011 -3.7603 6.3218 -3.6142 5.6418" Properties=species:S:1:pos:R:3 comment="HgPd14Rh | Alexandria via LeMat-Bulk | GGA-PBE | relaxed" space_group="No. 38" dos_ef_per_ev_cell=33.05 ef_kj_per_mol_atoms=2.0 volume_a3_per_atom=15.6 pbc="T T T"
Pd 0.6202 -0.6919 -1.1381
Pd 1.2780 -2.5921 -3.0926
Pd 5.5236 -3.4252 -0.8631
Pd 2.6080 -0.1433 -3.0141
Pd 2.9345 -6.8770 3.6427
Pd -0.7139 -3.1444 -1.2144
Pd 6.2150 -3.8622 1.8157
Pd 3.0765 -2.0679 -0.9852
Pd 1.7261 -4.4971 -1.0704
Pd 4.9000 -6.3117 1.7622
Pd 4.8626 -1.5160 1.1006
Pd -0.2732 -5.0431 0.7800
Pd 1.0745 -2.6151 0.8654
Pd 4.2484 -4.4297 3.6980
Hg 6.8582 -0.9663 -0.7833
Rh 3.5387 -3.9652 1.0150



Entry 5:
5
Lattice="5.1542 0.0000 0.0000 0.0000 5.1542 0.0000 0.0000 0.0000 5.1542" Properties=species:S:1:pos:R:3 comment="Hg3PdRh | Alexandria via LeMat-Bulk | GGA-PBE | relaxed" space_group="No. 221" dos_ef_per_ev_cell=1.53 ef_kj_per_mol_atoms=53.4 relative_energy_mev_per_atom=0.0 volume_a3_per_atom=27.4 pbc="T T T"
Pd 2.5771 2.5771 2.5771
Hg 2.5771 0.0000 0.0000
Hg 0.0000 0.0000 2.5771
Hg 0.0000 2.5771 0.0000
Rh 0.0000 0.0000 0.0000



Entry 6:
5
Lattice="-0.3381 1.9574 4.4108 -2.7166 -3.7317 1.4478 3.9884 -2.3758 1.3601" Properties=species:S:1:pos:R:3 comment="HgPd3Rh | Alexandria via LeMat-Bulk | GGA-PBE | relaxed" space_group="No. 221" dos_ef_per_ev_cell=6.31 ef_kj_per_mol_atoms=91.2 relative_energy_mev_per_atom=0.0 volume_a3_per_atom=22.6 pbc="T T T"
Rh 0.0000 0.0000 0.0000
Hg 0.4668 -2.0750 3.6093
Pd -0.1691 0.9787 2.2054
Pd 1.9942 -1.1879 0.6800
Pd -1.3583 -1.8658 0.7239



Entry 7:
10
Lattice="-1.4680 2.0453 -6.2664 -6.5806 -0.8273 1.2716 -0.2283 3.8087 1.2966" Properties=species:S:1:pos:R:3 comment="Hg2PdRh2 | Alexandria via LeMat-Bulk | GGA-PBE | relaxed" space_group="No. 127" dos_ef_per_ev_cell=10.66 ef_kj_per_mol_atoms=24.9 volume_a3_per_atom=18.4 pbc="T T T"
Rh -6.2692 0.0371 -1.2128
Rh -5.4223 1.2585 -4.6515
Rh -1.7794 1.1808 -3.7819
Rh -2.6263 -0.0406 -0.3433
Pd -4.0243 0.6090 -2.4974
Pd 0.0000 0.0000 0.0000
Hg -3.4776 3.3249 -4.1166
Hg -1.7342 2.4292 -1.1785
Hg -6.5427 2.5975 -2.5196
Hg -4.7993 1.7018 0.4185



Entry 8:
4
Lattice="2.9271 0.0000 0.0000 1.4635 2.5349 0.0000 1.4635 0.8450 10.1824" Properties=species:S:1:pos:R:3 comment="Hg2PdRh | Alexandria via LeMat-Bulk | GGA-PBE | relaxed" space_group="No. 166" dos_ef_per_ev_cell=4.38 ef_kj_per_mol_atoms=29.8 volume_a3_per_atom=18.9 pbc="T T T"
Rh 0.0000 0.0000 0.0000
Hg 4.3906 2.5349 2.7311
Hg 1.4635 0.8450 7.4513
Pd 2.9271 1.6900 5.0912



Entry 9:
4
Lattice="3.3060 0.0000 0.0000 0.0000 4.6220 0.0000 0.0000 0.0000 4.6220" Properties=species:S:1:pos:R:3 comment="Hg2PdRh | Alexandria via LeMat-Bulk | GGA-PBE | relaxed" space_group="No. 123" dos_ef_per_ev_cell=0.80 ef_kj_per_mol_atoms=-1.9 volume_a3_per_atom=17.7 pbc="T T T"
Pd 1.6530 0.0000 0.0000
Hg 0.0000 0.0000 2.3110
Hg 0.0000 2.3110 0.0000
Rh 1.6530 2.3110 2.3110



Entry 10:
11
Lattice="-0.3717 0.6301 -4.1176 -6.1410 -3.2120 0.0635 -1.1810 6.7338 1.1377" Properties=species:S:1:pos:R:3 comment="Hg2Pd8Rh | Alexandria via LeMat-Bulk | GGA-PBE | relaxed" space_group="No. 65" dos_ef_per_ev_cell=15.86 ef_kj_per_mol_atoms=15.6 volume_a3_per_atom=17.4 pbc="T T T"
Pd -5.1893 -0.6159 -1.7490
Pd -1.8545 -0.6766 0.0640
Pd -5.1142 2.6855 -1.2502
Pd -2.5796 1.4664 -1.6662
Pd -5.8393 4.8284 -2.9805
Pd -7.1011 2.2982 -3.2537
Pd -0.5927 1.8536 0.3373
Pd -2.5045 4.7678 -1.1675
Rh -0.1859 0.3150 -2.0588
Hg -3.0312 3.0238 0.7370
Hg -4.2908 0.4980 0.4642



Entry 11:
5
Lattice="-2.4720 2.9344 -2.8367 -4.0557 -1.3947 2.0915 0.4571 3.4946 3.2167" Properties=species:S:1:pos:R:3 comment="HgPdRh3 | Alexandria via LeMat-Bulk | GGA-PBE | relaxed" space_group="No. 221" dos_ef_per_ev_cell=11.05 ef_kj_per_mol_atoms=134.0 relative_energy_mev_per_atom=0.0 volume_a3_per_atom=21.7 pbc="T T T"
Pd 0.0000 0.0000 0.0000
Rh -1.2360 1.4672 -1.4184
Rh -2.0278 -0.6973 1.0458
Rh 0.2285 1.7473 1.6083
Hg -3.0353 2.5172 1.2357



Entry 12:
8
Lattice="-3.8898 -1.1241 -0.4445 0.5298 -2.9317 2.7778 -4.2332 4.0697 8.0889" Properties=species:S:1:pos:R:3 comment="Hg2PdRh | Alexandria via LeMat-Bulk | GGA-PBE | relaxed" space_group="No. 122" dos_ef_per_ev_cell=8.49 ef_kj_per_mol_atoms=35.9 volume_a3_per_atom=19.9 pbc="T T T"
Pd -4.9015 0.4588 4.4055
Pd 0.0000 0.0000 0.0000
Hg -4.4336 1.5242 6.9485
Hg -1.2229 -0.9581 3.7017
Hg -6.1162 -0.4893 8.1015
Hg -3.4137 -0.0489 2.0927
Rh -1.6800 -2.0279 1.1667
Rh -2.6917 -0.4449 6.0167